#a
Compound: Li3BeGe
Source: the Alexandria database
Functional: GGA-PBE
Structure: optimized geometry

Properties
Symmetry: No. 221
Total moment in μB per formula unit: 0.000
Volume in Å³/atom: 21.114
N(E_F) in states/eV/cell: 1.44

Unit cell a=4.726 b=4.726 c=4.726 alpha=90.00 beta=90.00 gamma=90.00
Positions (direct):
Li (0.000, 0.000, 0.500)
Li (0.000, 0.500, 0.000)
Li (0.500, 0.000, 0.000)
Ge (0.000, 0.000, 0.000)
Be (0.500, 0.500, 0.500)

#b
Compound: Li3BeGe
Source: the Alexandria database
Functional: GGA-PBE
Structure: optimized geometry

Properties
Symmetry: No. 221
Total moment in μB per formula unit: 0.000
Volume in Å³/atom: 16.983
N(E_F) in states/eV/cell: 2.12

Unit cell a=4.395 b=4.395 c=4.395 alpha=90.00 beta=90.00 gamma=90.00
Positions (direct):
Li (0.000, 0.000, 0.500)
Li (0.500, 0.000, 0.000)
Li (0.000, 0.500, 0.000)
Be (0.000, 0.000, 0.000)
Ge (0.500, 0.500, 0.500)

Most stable structure - #b; separation to the second - 0.085 eV/atom.

#a
Compound: MgBeGe2
Source: the Alexandria database
Functional: GGA-PBE
Structure: optimized geometry

Properties
Symmetry: No. 225
Total moment in μB per formula unit: 0.000
Volume in Å³/atom: 16.776
N(E_F) in states/eV/cell: 2.18

Unit cell a=4.561 b=4.561 c=4.561 alpha=60.00 beta=60.00 gamma=60.00
Positions (direct):
Mg (0.500, 0.500, 0.500)
Be (0.000, 0.000, 0.000)
Ge (0.250, 0.250, 0.250)
Ge (0.750, 0.750, 0.750)

#b
Compound: MgBeGe2
Source: the Alexandria database
Functional: GGA-PBE
Structure: optimized geometry

Properties
Symmetry: No. 122
Total moment in μB per formula unit: 0.000
Volume in Å³/atom: 18.846
N(E_F) in states/eV/cell: 0.00

Unit cell a=4.441 b=4.441 c=8.263 alpha=74.41 beta=74.41 gamma=90.00
Positions (direct):
Mg (0.750, 0.250, 0.500)
Mg (0.000, 0.000, 0.000)
Be (0.500, 0.500, 0.000)
Be (0.250, 0.750, 0.500)
Ge (0.875, 0.794, 0.750)
Ge (0.206, 0.625, 0.250)
Ge (0.375, 0.456, 0.750)
Ge (0.544, 0.125, 0.250)

#c
Compound: MgBeGe2
Source: the Alexandria database
Functional: GGA-PBE
Structure: optimized geometry

Properties
Symmetry: No. 166
Total moment in μB per formula unit: 0.000
Volume in Å³/atom: 17.751
N(E_F) in states/eV/cell: 1.13

Unit cell a=3.724 b=3.724 c=6.291 alpha=72.78 beta=72.78 gamma=60.00
Positions (direct):
Be (0.000, 0.000, 0.000)
Ge (0.723, 0.723, 0.831)
Ge (0.277, 0.277, 0.169)
Mg (0.500, 0.500, 0.500)

Most stable structure - #b; separation to the second - 0.023 eV/atom.

#a
Compound: Mg2Be2Ge
Source: the Alexandria database
Functional: GGA-PBE
Structure: optimized geometry

Properties
Symmetry: No. 139
Total moment in μB per formula unit: 0.000
Volume in Å³/atom: 16.474
N(E_F) in states/eV/cell: 1.64

Unit cell a=3.798 b=3.798 c=6.309 alpha=72.48 beta=72.48 gamma=90.00
Positions (direct):
Be (0.588, 0.588, 0.823)
Be (0.412, 0.412, 0.177)
Mg (0.250, 0.750, 0.500)
Mg (0.750, 0.250, 0.500)
Ge (0.000, 0.000, 0.000)

#b
Compound: Mg2Be2Ge
Source: the Alexandria database
Functional: GGA-PBE
Structure: optimized geometry

Properties
Symmetry: No. 127
Total moment in μB per formula unit: 0.000
Volume in Å³/atom: 15.114
N(E_F) in states/eV/cell: 2.57

Unit cell a=6.076 b=6.076 c=4.094 alpha=90.00 beta=90.00 gamma=90.00
Positions (direct):
Be (0.625, 0.125, 0.000)
Be (0.375, 0.875, 0.000)
Be (0.875, 0.625, 0.000)
Be (0.125, 0.375, 0.000)
Mg (0.668, 0.832, 0.500)
Mg (0.168, 0.668, 0.500)
Mg (0.332, 0.168, 0.500)
Mg (0.832, 0.332, 0.500)
Ge (0.000, 0.000, 0.000)
Ge (0.500, 0.500, 0.000)

Most stable structure - #b; separation to the second - 0.401 eV/atom.

#a
Compound: RbMgBe2Ge
Source: the Alexandria database
Functional: GGA-PBE
Structure: optimized geometry

Properties
Symmetry: No. 123
Total moment in μB per formula unit: 0.000
Volume in Å³/atom: 26.045
N(E_F) in states/eV/cell: 3.41

Unit cell a=5.007 b=5.195 c=5.007 alpha=90.00 beta=90.00 gamma=90.00
Positions (direct):
Mg (0.000, 0.000, 0.000)
Be (0.500, 0.000, 0.000)
Be (0.000, 0.000, 0.500)
Ge (0.000, 0.500, 0.000)
Rb (0.500, 0.500, 0.500)

#b
Compound: RbMgBe2Ge
Source: the Alexandria database
Functional: GGA-PBE
Structure: optimized geometry

Properties
Symmetry: No. 123
Total moment in μB per formula unit: 0.000
Volume in Å³/atom: 34.159
N(E_F) in states/eV/cell: 5.08

Unit cell a=5.310 b=6.057 c=5.310 alpha=90.00 beta=90.00 gamma=90.00
Positions (direct):
Be (0.000, 0.000, 0.500)
Be (0.500, 0.000, 0.000)
Mg (0.000, 0.500, 0.000)
Ge (0.500, 0.500, 0.500)
Rb (0.000, 0.000, 0.000)

Most stable structure - #a; separation to the second - 1.124 eV/atom.

#a
Compound: MgBeGeW2
Source: the Alexandria database
Functional: GGA-PBE
Structure: optimized geometry

Properties
Symmetry: No. 123
Total moment in μB per formula unit: 0.000
Volume in Å³/atom: 15.872
N(E_F) in states/eV/cell: 3.21

Unit cell a=4.294 b=4.305 c=4.294 alpha=90.00 beta=90.00 gamma=90.00
Positions (direct):
Ge (0.500, 0.500, 0.500)
W (0.000, 0.000, 0.500)
W (0.500, 0.000, 0.000)
Mg (0.000, 0.500, 0.000)
Be (0.000, 0.000, 0.000)

#b
Compound: MgBeGeW2
Source: the Alexandria database
Functional: GGA-PBE
Structure: optimized geometry

Properties
Symmetry: No. 123
Total moment in μB per formula unit: 0.000
Volume in Å³/atom: 17.413
N(E_F) in states/eV/cell: 5.59

Unit cell a=4.708 b=3.928 c=4.708 alpha=90.00 beta=90.00 gamma=90.00
Positions (direct):
W (0.000, 0.000, 0.500)
W (0.500, 0.000, 0.000)
Ge (0.500, 0.500, 0.500)
Be (0.000, 0.500, 0.000)
Mg (0.000, 0.000, 0.000)

Most stable structure - #a; separation to the second - 1.270 eV/atom.

#a
Compound: MnBe3Ge
Source: the Alexandria database
Functional: GGA-PBE
Structure: optimized geometry

Properties
Symmetry: No. 221
Total moment in μB per formula unit: 0.234
Volume in Å³/atom: 14.788
N(E_F) in states/eV/cell: 5.94

Unit cell a=4.197 b=4.197 c=4.197 alpha=90.00 beta=90.00 gamma=90.00
Site moments in Bohr magnetons follow the coordinates.
Positions (direct):
Ge (0.000, 0.000, 0.000)  -0.01
Be (0.000, 0.000, 0.500)  0.00
Be (0.500, 0.000, 0.000)  0.03
Be (0.000, 0.500, 0.000)  0.01
Mn (0.500, 0.500, 0.500)  -0.38

#b
Compound: MnBe3Ge
Source: the Alexandria database
Functional: GGA-PBE
Structure: optimized geometry

Properties
Symmetry: No. 221
Total moment in μB per formula unit: 0.708
Volume in Å³/atom: 13.383
N(E_F) in states/eV/cell: 3.12

Unit cell a=4.060 b=4.060 c=4.060 alpha=90.00 beta=90.00 gamma=90.00
Site moments in Bohr magnetons follow the coordinates.
Positions (direct):
Be (0.000, 0.000, 0.500)  -0.01
Be (0.000, 0.500, 0.000)  -0.01
Be (0.500, 0.000, 0.000)  -0.02
Ge (0.500, 0.500, 0.500)  -0.02
Mn (0.000, 0.000, 0.000)  0.76

Most stable structure - #b; separation to the second - 0.383 eV/atom.

#a
Compound: BeGeMo
Source: the Alexandria database
Functional: GGA-PBE
Structure: optimized geometry

Properties
Symmetry: No. 1
Total moment in μB per formula unit: 0.000
Volume in Å³/atom: 13.785
N(E_F) in states/eV/cell: 6.62

Unit cell a=6.453 b=4.827 c=6.809 alpha=63.55 beta=63.12 gamma=88.28
Positions (direct):
Ge (0.677, 0.123, 0.651)
Ge (0.235, 0.642, 0.305)
Ge (0.909, 0.514, 0.812)
Ge (0.822, 0.907, 0.259)
Mo (0.371, 0.818, 0.578)
Mo (0.613, 0.454, 0.264)
Mo (0.267, 0.195, 0.871)
Mo (0.105, 0.108, 0.367)
Be (0.547, 0.095, 0.075)
Be (0.076, 0.599, 0.032)
Be (0.945, 0.984, 0.833)
Be (0.440, 0.562, 0.953)

#b
Compound: BeGeMo
Source: the Alexandria database
Functional: GGA-PBE
Structure: optimized geometry

Properties
Symmetry: No. 187
Total moment in μB per formula unit: 0.000
Volume in Å³/atom: 13.062
N(E_F) in states/eV/cell: 1.45

Unit cell a=2.740 b=4.064 c=4.064 alpha=120.00 beta=90.00 gamma=90.00
Positions (direct):
Ge (0.167, 0.667, 0.333)
Be (0.166, 0.000, 0.000)
Mo (0.667, 0.333, 0.667)

Most stable structure - #a; separation to the second - 0.036 eV/atom.

#a
Compound: Be3GeMo
Source: the Alexandria database
Functional: GGA-PBE
Structure: optimized geometry

Properties
Symmetry: No. 221
Total moment in μB per formula unit: 0.000
Volume in Å³/atom: 13.575
N(E_F) in states/eV/cell: 5.42

Unit cell a=4.079 b=4.079 c=4.079 alpha=90.00 beta=90.00 gamma=90.00
Positions (direct):
Be (0.500, 0.000, 0.000)
Be (0.000, 0.000, 0.500)
Be (0.000, 0.500, 0.000)
Ge (0.000, 0.000, 0.000)
Mo (0.500, 0.500, 0.500)

#b
Compound: Be3GeMo
Source: the Alexandria database
Functional: GGA-PBE
Structure: optimized geometry

Properties
Symmetry: No. 221
Total moment in μB per formula unit: 0.000
Volume in Å³/atom: 16.413
N(E_F) in states/eV/cell: 2.59

Unit cell a=4.346 b=4.346 c=4.346 alpha=90.00 beta=90.00 gamma=90.00
Positions (direct):
Be (0.000, 0.500, 0.000)
Be (0.000, 0.000, 0.500)
Be (0.500, 0.000, 0.000)
Mo (0.000, 0.000, 0.000)
Ge (0.500, 0.500, 0.500)

Most stable structure - #a; separation to the second - 0.104 eV/atom.

#a
Compound: BeGe3Mo
Source: the Alexandria database
Functional: GGA-PBE
Structure: optimized geometry

Properties
Symmetry: No. 221
Total moment in μB per formula unit: 0.000
Volume in Å³/atom: 23.384
N(E_F) in states/eV/cell: 0.30

Unit cell a=4.890 b=4.890 c=4.890 alpha=90.00 beta=90.00 gamma=90.00
Positions (direct):
Ge (0.500, 0.000, 0.000)
Ge (0.000, 0.500, 0.000)
Ge (0.000, 0.000, 0.500)
Mo (0.000, 0.000, 0.000)
Be (0.500, 0.500, 0.500)

#b
Compound: BeGe3Mo
Source: the Alexandria database
Functional: GGA-PBE
Structure: optimized geometry

Properties
Symmetry: No. 221
Total moment in μB per formula unit: 3.137
Volume in Å³/atom: 17.697
N(E_F) in states/eV/cell: 3.29

Unit cell a=4.456 b=4.456 c=4.456 alpha=90.00 beta=90.00 gamma=90.00
Site moments in Bohr magnetons follow the coordinates.
Positions (direct):
Ge (0.000, 0.500, 0.000)  -0.03
Ge (0.500, 0.000, 0.000)  -0.04
Ge (0.000, 0.000, 0.500)  -0.01
Mo (0.500, 0.500, 0.500)  2.75
Be (0.000, 0.000, 0.000)  0.05

Most stable structure - #a; separation to the second - 0.099 eV/atom.

#a
Compound: BeGeN
Source: the Alexandria database
Functional: GGA-PBE
Structure: optimized geometry

Properties
Symmetry: No. 8
Total moment in μB per formula unit: 0.000
Volume in Å³/atom: 12.408
N(E_F) in states/eV/cell: 0.33

Unit cell a=2.894 b=7.911 c=5.397 alpha=38.76 beta=90.07 gamma=56.78
Positions (direct):
N (0.084, 0.810, 0.252)
Ge (0.711, 0.058, 0.630)
Be (0.127, 0.449, 0.656)

#b
Compound: BeGeN
Source: the Alexandria database
Functional: GGA-PBE
Structure: optimized geometry

Properties
Symmetry: No. 1
Total moment in μB per formula unit: 0.000
Volume in Å³/atom: 11.758
N(E_F) in states/eV/cell: 1.57

Unit cell a=2.914 b=2.911 c=9.770 alpha=99.39 beta=89.67 gamma=119.99
Positions (direct):
N (0.675, 0.955, 0.844)
N (0.425, 0.468, 0.093)
Ge (0.605, 0.807, 0.638)
Ge (0.491, 0.608, 0.288)
Be (0.014, 0.633, 0.860)
Be (0.745, 0.106, 0.053)

#c
Compound: BeGeN
Source: the Alexandria database
Functional: GGA-PBE
Structure: optimized geometry

Properties
Symmetry: No. 31
Total moment in μB per formula unit: 0.000
Volume in Å³/atom: 12.223
N(E_F) in states/eV/cell: 0.75

Unit cell a=2.903 b=5.518 c=4.578 alpha=90.00 beta=90.00 gamma=90.00
Positions (direct):
Be (0.000, 0.972, 0.198)
Be (0.500, 0.028, 0.698)
Ge (0.000, 0.440, 0.497)
Ge (0.500, 0.560, 0.997)
N (0.000, 0.097, 0.532)
N (0.500, 0.903, 0.032)

Most stable structure - #c; separation to the second - 0.072 eV/atom.

#a
Compound: BeGeN
Source: the Alexandria database
Functional: GGA-PBE
Structure: optimized geometry

Properties
Symmetry: No. 129
Total moment in μB per formula unit: 0.000
Volume in Å³/atom: 12.875
N(E_F) in states/eV/cell: 1.09

Unit cell a=2.986 b=2.986 c=8.664 alpha=90.00 beta=90.00 gamma=90.00
Positions (direct):
Ge (0.000, 0.500, 0.317)
Ge (0.500, 0.000, 0.683)
N (0.500, 0.000, 0.902)
N (0.000, 0.500, 0.098)
Be (0.500, 0.500, 0.000)
Be (0.000, 0.000, 0.000)

#b
Compound: BeGeN
Source: the Alexandria database
Functional: GGA-PBE
Structure: optimized geometry

Properties
Symmetry: No. 1
Total moment in μB per formula unit: 0.000
Volume in Å³/atom: 12.614
N(E_F) in states/eV/cell: 0.36

Unit cell a=4.709 b=2.855 c=3.042 alpha=90.06 beta=102.95 gamma=107.77
Positions (direct):
Ge (0.152, 0.962, 0.586)
Be (0.622, 0.700, 0.263)
N (0.449, 0.112, 0.181)

Most stable structure - #a; separation to the second - 0.308 eV/atom.

#a
Compound: BeGeSN2
Source: the Alexandria database
Functional: GGA-PBE
Structure: optimized geometry

Properties
Symmetry: No. 123
Total moment in μB per formula unit: 0.105
Volume in Å³/atom: 15.966
N(E_F) in states/eV/cell: 2.23

Unit cell a=3.533 b=3.533 c=6.395 alpha=90.00 beta=90.00 gamma=90.00
Positions (direct):
Ge (0.000, 0.000, 0.000)
S (0.000, 0.000, 0.500)
Be (0.500, 0.500, 0.500)
N (0.000, 0.500, 0.000)
N (0.500, 0.000, 0.000)

#b
Compound: BeGeSN2
Source: the Alexandria database
Functional: GGA-PBE
Structure: optimized geometry

Properties
Symmetry: No. 123
Total moment in μB per formula unit: 1.279
Volume in Å³/atom: 12.736
N(E_F) in states/eV/cell: 2.07

Unit cell a=3.454 b=3.454 c=5.337 alpha=90.00 beta=90.00 gamma=90.00
Site moments in Bohr magnetons follow the coordinates.
Positions (direct):
Ge (0.500, 0.500, 0.500)  -0.03
S (0.000, 0.000, 0.500)  0.10
N (0.000, 0.500, 0.000)  0.43
N (0.500, 0.000, 0.000)  0.43
Be (0.000, 0.000, 0.000)  -0.01

Most stable structure - #b; separation to the second - 0.159 eV/atom.

#a
Compound: BeGeSeN2
Source: the Alexandria database
Functional: GGA-PBE
Structure: optimized geometry

Properties
Symmetry: No. 123
Total moment in μB per formula unit: 1.389
Volume in Å³/atom: 13.712
N(E_F) in states/eV/cell: 1.69

Unit cell a=3.565 b=3.565 c=5.396 alpha=90.00 beta=90.00 gamma=90.00
Site moments in Bohr magnetons follow the coordinates.
Positions (direct):
N (0.500, 0.000, 0.000)  0.46
N (0.000, 0.500, 0.000)  0.46
Ge (0.500, 0.500, 0.500)  -0.03
Se (0.000, 0.000, 0.500)  0.12
Be (0.000, 0.000, 0.000)  -0.01

#b
Compound: BeGeSeN2
Source: the Alexandria database
Functional: GGA-PBE
Structure: optimized geometry

Properties
Symmetry: No. 123
Total moment in μB per formula unit: 0.036
Volume in Å³/atom: 17.437
N(E_F) in states/eV/cell: 3.10

Unit cell a=3.565 b=3.565 c=6.860 alpha=90.00 beta=90.00 gamma=90.00
Positions (direct):
N (0.500, 0.000, 0.000)
N (0.000, 0.500, 0.000)
Se (0.000, 0.000, 0.500)
Be (0.500, 0.500, 0.500)
Ge (0.000, 0.000, 0.000)

Most stable structure - #a; separation to the second - 0.043 eV/atom.